{"formula": "LiZnInSn", "functional": "PBE", "state": "optimized geometry", "lattice_angstrom": [[6.9567, 0.0000, 0.0000], [0.0000, 6.9567, 0.0000], [0.0000, 0.0000, 6.9567]], "species": ["Li", "Li", "Li", "Li", "Zn", "Zn", "Zn", "Zn", "In", "In", "In", "In", "Sn", "Sn", "Sn", "Sn"], "fractional_positions": [[0.0000, 0.0000, 0.0000], [0.0000, 0.5000, 0.5000], [0.5000, 0.0000, 0.5000], [0.5000, 0.5000, 0.0000], [0.0000, 0.0000, 0.5000], [0.0000, 0.5000, 0.0000], [0.5000, 0.0000, 0.0000], [0.5000, 0.5000, 0.5000], [0.2500, 0.2500, 0.2500], [0.2500, 0.7500, 0.7500], [0.7500, 0.2500, 0.7500], [0.7500, 0.7500, 0.2500], [0.2500, 0.2500, 0.7500], [0.2500, 0.7500, 0.2500], [0.7500, 0.2500, 0.2500], [0.7500, 0.7500, 0.7500]], "vol_a3_per_fu": 84.2, "e_form_mev_per_atom": -88, "dos_ef_per_ev_atom": 0.33}



{"formula": "Pm8Dy2Y3", "functional": "PBE", "state": "optimized geometry", "lattice_angstrom": [[7.7168, 0.0000, 0.0000], [0.0000, 5.7252, 0.0000], [-3.8540, 0.0000, 10.2022]], "species": ["Pm", "Pm", "Pm", "Pm", "Pm", "Pm", "Pm", "Pm", "Dy", "Dy", "Y", "Y", "Y"], "fractional_positions": [[0.0990, 0.0000, 0.2867], [0.1723, 0.5000, 0.8447], [0.3123, 0.0000, 0.7133], [0.3671, 0.5000, 0.2343], [0.6329, 0.5000, 0.7657], [0.6877, 0.0000, 0.2867], [0.8277, 0.5000, 0.1553], [0.9010, 0.0000, 0.7133], [0.2599, 0.0000, 0.0192], [0.7401, 0.0000, 0.9808], [0.2150, 0.5000, 0.5000], [0.5000, 0.0000, 0.5000], [0.7850, 0.5000, 0.5000]], "vol_a3_per_fu": 450.7, "e_form_mev_per_atom": 207, "e_above_lowest_polymorph_mev_per_atom": 143, "dos_ef_per_ev_atom": 1.46}



{"formula": "PmNdEr3", "functional": "PBE", "state": "optimized geometry", "lattice_angstrom": [[6.3019, 0.0000, 0.0000], [0.0000, 5.6904, 0.0000], [-3.1345, 0.0000, 9.0888]], "species": ["Pm", "Pm", "Nd", "Nd", "Er", "Er", "Er", "Er", "Er", "Er"], "fractional_positions": [[0.1349, 0.2500, 0.1009], [0.8651, 0.7500, 0.8991], [0.2673, 0.7500, 0.6995], [0.7327, 0.2500, 0.3005], [0.0669, 0.7500, 0.3026], [0.3368, 0.2500, 0.4995], [0.4652, 0.7500, 0.1011], [0.5348, 0.2500, 0.8989], [0.6632, 0.7500, 0.5005], [0.9331, 0.2500, 0.6974]], "vol_a3_per_fu": 163.0, "e_form_mev_per_atom": 16, "e_above_lowest_polymorph_mev_per_atom": 0, "dos_ef_per_ev_atom": 1.56}